No. 1
12
Lattice="3.638 -6.305 0.000 3.638 6.305 0.000 -2.416 0.000 7.783" Properties=species:S:1:pos:R:3 comment="Nd6Rh2AuBr3 (PBE, relaxed)" space_group=C2/m crystal_system=monoclinic dos_at_fermi_per_ev_atom=0.704 raw_formation_energy_ev_per_atom=-1.042 total_energy_ev_per_cell=-64.11 pbc="T T T"
Nd -0.053 2.208 6.233
Nd 1.088 0.000 1.548
Nd -0.053 -2.208 6.233
Nd 4.912 2.208 1.550
Nd 3.771 0.000 6.235
Nd 4.912 -2.208 1.550
Rh 3.638 4.203 0.000
Rh 3.638 -4.203 0.000
Au 3.638 0.000 0.000
Br -1.208 0.000 3.892
Br 2.430 2.120 3.892
Br 2.430 -2.120 3.892

---

No. 2
8
Lattice="7.386 0.000 0.000 0.000 4.198 0.000 -2.501 0.000 7.750" Properties=species:S:1:pos:R:3 comment="Nd4RhAuBr2 (PBE, relaxed)" space_group=P2/m crystal_system=monoclinic dos_at_fermi_per_ev_atom=0.864 raw_formation_energy_ev_per_atom=-1.014 total_energy_ev_per_cell=-41.16 pbc="T T T"
Nd 1.187 0.000 1.547
Nd -0.200 2.099 6.172
Nd 5.085 2.099 1.578
Nd 3.698 0.000 6.204
Rh 0.000 2.099 0.000
Au 3.693 0.000 0.000
Br -1.250 0.000 3.875
Br 2.443 2.099 3.875

---

No. 3
16
Lattice="7.248 -4.186 0.000 7.248 4.186 0.000 -4.842 0.000 7.788" Properties=species:S:1:pos:R:3 comment="Nd8Rh3AuBr4 (PBE, relaxed)" space_group=C2/m crystal_system=monoclinic dos_at_fermi_per_ev_atom=0.559 raw_formation_energy_ev_per_atom=-1.046 total_energy_ev_per_cell=-86.90 pbc="T T T"
Nd 3.572 2.176 5.433
Nd -0.004 0.000 5.439
Nd 2.315 0.000 2.356
Nd 6.082 2.176 2.356
Nd 3.572 -2.176 5.433
Nd 7.339 0.000 5.432
Nd 9.658 0.000 2.350
Nd 6.082 -2.176 2.356
Rh -2.421 0.000 3.894
Rh 1.203 2.093 3.894
Rh 1.203 -2.093 3.894
Au 4.827 0.000 3.894
Br 0.000 0.000 0.000
Br 3.624 2.093 0.000
Br 3.624 -2.093 0.000
Br 7.248 0.000 0.000

---

No. 4
16
Lattice="4.150 2.396 7.848 -4.150 2.396 7.848 0.000 -4.792 7.848" Properties=species:S:1:pos:R:3 comment="Nd8Ru3AuBr4 (PBE, relaxed)" space_group=R-3m crystal_system=trigonal dos_at_fermi_per_ev_atom=0.429 raw_formation_energy_ev_per_atom=-0.856 total_energy_ev_per_cell=-89.63 pbc="T T T"
Nd -2.191 -1.265 13.320
Nd 0.000 0.000 5.497
Nd 0.000 -2.530 10.225
Nd -2.191 1.265 10.225
Nd 2.191 -1.265 13.320
Nd 0.000 2.530 13.320
Nd 0.000 0.000 18.048
Nd 2.191 1.265 10.225
Ru -4.150 0.000 11.773
Ru -2.075 1.198 3.924
Ru 2.075 1.198 3.924
Au 0.000 0.000 11.773
Br 0.000 0.000 0.000
Br -2.075 -1.198 7.848
Br -2.075 1.198 15.697
Br 0.000 2.396 7.848

---

No. 5
8
Lattice="7.369 0.000 0.000 0.000 4.181 0.000 -2.481 0.000 7.795" Properties=species:S:1:pos:R:3 comment="Nd4RuAuBr2 (PBE, relaxed)" space_group=P2/m crystal_system=monoclinic dos_at_fermi_per_ev_atom=0.554 raw_formation_energy_ev_per_atom=-0.913 total_energy_ev_per_cell=-42.28 pbc="T T T"
Nd 1.153 0.000 1.545
Nd -0.222 2.091 6.224
Nd 5.111 2.091 1.571
Nd 3.735 0.000 6.250
Ru 0.000 2.091 0.000
Au 3.685 0.000 0.000
Br -1.240 0.000 3.898
Br 2.444 2.091 3.898

---

No. 6
12
Lattice="3.544 -6.130 0.000 3.544 6.130 0.000 -2.332 0.000 7.584" Properties=species:S:1:pos:R:3 comment="Nd6AuS2Br3 (PBE, relaxed)" space_group=C2/m crystal_system=monoclinic dos_at_fermi_per_ev_atom=0.733 raw_formation_energy_ev_per_atom=-1.390 total_energy_ev_per_cell=-61.83 pbc="T T T"
Nd -0.035 2.152 5.983
Nd 1.069 0.000 1.579
Nd -0.035 -2.152 5.983
Nd 4.792 2.152 1.601
Nd 3.688 0.000 6.005
Nd 4.792 -2.152 1.601
Au 3.544 0.000 0.000
S 3.544 4.079 0.000
S 3.544 -4.079 0.000
Br -1.166 0.000 3.792
Br 2.378 1.975 3.792
Br 2.378 -1.975 3.792

---

No. 7
8
Lattice="7.462 0.000 0.000 0.000 4.144 0.000 -2.315 0.000 7.163" Properties=species:S:1:pos:R:3 comment="Nd4AuSe2Br (PBE, relaxed)" space_group=P2/m crystal_system=monoclinic dos_at_fermi_per_ev_atom=0.452 raw_formation_energy_ev_per_atom=-1.411 total_energy_ev_per_cell=-42.28 pbc="T T T"
Nd 1.201 0.000 1.665
Nd 0.071 2.072 5.372
Nd 5.075 2.072 1.791
Nd 3.946 0.000 5.498
Au -1.157 0.000 3.581
Se 0.000 2.072 0.000
Se 3.731 0.000 0.000
Br 2.573 2.072 3.581

---

No. 8
8
Lattice="7.532 0.000 0.000 0.000 4.228 0.000 -2.369 0.000 7.278" Properties=species:S:1:pos:R:3 comment="Nd4SiAuBr2 (PBE, relaxed)" space_group=P2/m crystal_system=monoclinic dos_at_fermi_per_ev_atom=0.719 raw_formation_energy_ev_per_atom=-1.001 total_energy_ev_per_cell=-39.12 pbc="T T T"
Nd 1.085 0.000 1.772
Nd -0.060 2.114 5.321
Nd 5.223 2.114 1.957
Nd 4.078 0.000 5.507
Si -1.185 0.000 3.639
Au 0.000 2.114 0.000
Br 3.766 0.000 0.000
Br 2.581 2.114 3.639

---

No. 9
16
Lattice="4.297 2.481 7.207 -4.297 2.481 7.207 0.000 -4.962 7.207" Properties=species:S:1:pos:R:3 comment="Nd8Si3AuBr4 (PBE, relaxed)" space_group=R-3m crystal_system=trigonal dos_at_fermi_per_ev_atom=0.517 raw_formation_energy_ev_per_atom=-1.036 total_energy_ev_per_cell=-80.96 pbc="T T T"
Nd -2.197 -1.268 12.391
Nd 0.000 0.000 5.150
Nd 0.000 -2.536 9.229
Nd -2.197 1.268 9.229
Nd 2.197 -1.268 12.391
Nd 0.000 2.536 12.391
Nd 0.000 0.000 16.471
Nd 2.197 1.268 9.229
Si -4.297 0.000 10.810
Si -2.149 1.240 3.603
Si 2.149 1.240 3.603
Au 0.000 0.000 10.810
Br 0.000 0.000 0.000
Br -2.149 -1.240 7.207
Br -2.149 1.240 14.414
Br 0.000 2.481 7.207

---

No. 10
12
Lattice="7.695 0.000 0.000 0.000 4.055 0.000 -2.720 0.000 11.616" Properties=species:S:1:pos:R:3 comment="Nd3TeAuBr (PBE, relaxed)" space_group=P2_1/m crystal_system=monoclinic dos_at_fermi_per_ev_atom=0.824 raw_formation_energy_ev_per_atom=-1.091 total_energy_ev_per_cell=-57.88 pbc="T T T"
Nd -0.069 1.014 1.692
Nd 0.921 1.014 5.822
Nd 1.203 3.041 9.704
Nd 3.773 1.014 1.913
Nd 4.054 3.041 5.794
Nd 5.044 3.041 9.924
Te 1.774 3.041 3.534
Te 3.202 1.014 8.082
Au -0.702 1.014 11.047
Au 5.677 3.041 0.569
Br -0.836 3.041 7.323
Br 5.811 1.014 4.294

---

No. 11
5
Lattice="4.927 0.000 0.000 0.000 4.927 0.000 0.000 0.000 4.927" Properties=species:S:1:pos:R:3 comment="NiAuBr3 (PBE, relaxed)" space_group=Pm-3m crystal_system=cubic dos_at_fermi_per_ev_atom=0.418 raw_formation_energy_ev_per_atom=0.231 polymorph_energy_mev_per_atom=0 total_energy_ev_per_cell=-12.92 pbc="T T T"
Ni 0.000 0.000 0.000
Au 2.464 2.464 2.464
Br 0.000 0.000 2.464
Br 0.000 2.464 0.000
Br 2.464 0.000 0.000

---

No. 12
8
Lattice="-4.202 4.202 2.378 4.202 -4.202 2.378 4.202 4.202 -2.378" Properties=species:S:1:pos:R:3 comment="NiAu2Br (PBE, relaxed)" space_group=I-42d crystal_system=tetragonal dos_at_fermi_per_ev_atom=0.746 raw_formation_energy_ev_per_atom=0.413 polymorph_energy_mev_per_atom=262 total_energy_ev_per_cell=-24.72 pbc="T T T"
Ni 0.000 0.000 0.000
Ni 0.000 4.202 1.189
Au 6.302 1.400 -0.595
Au 1.400 2.101 0.595
Au -2.101 2.801 1.784
Au 2.801 2.101 2.973
Br 4.202 0.000 1.189
Br 0.000 0.000 2.378

---

No. 13
4
Lattice="-1.515 2.087 5.630 1.515 -2.087 5.630 1.515 2.087 -5.630" Properties=species:S:1:pos:R:3 comment="Ni2AuBr (PBE, relaxed)" space_group=Imm2 crystal_system=orthorhombic dos_at_fermi_per_ev_atom=1.243 raw_formation_energy_ev_per_atom=0.373 polymorph_energy_mev_per_atom=30 total_energy_ev_per_cell=-15.02 pbc="T T T"
Ni 0.000 0.000 0.000
Ni 0.000 2.087 3.646
Au 1.515 0.000 4.190
Br 0.000 0.000 7.269

---

No. 14
4
Lattice="4.817 0.000 0.000 0.000 3.766 0.000 -1.991 0.000 4.401" Properties=species:S:1:pos:R:3 comment="NiAu2Br (PBE, relaxed)" space_group=P2/m crystal_system=monoclinic dos_at_fermi_per_ev_atom=0.648 raw_formation_energy_ev_per_atom=0.340 polymorph_energy_mev_per_atom=189 total_energy_ev_per_cell=-12.65 pbc="T T T"
Ni 0.000 0.000 0.000
Au -0.526 1.883 3.453
Au 3.352 1.883 0.948
Br 1.413 0.000 2.201

---

No. 15
4
Lattice="4.494 -1.562 0.000 4.494 1.562 0.000 -1.236 0.000 6.340" Properties=species:S:1:pos:R:3 comment="NiAu2Br (PBE, relaxed)" space_group=Cm crystal_system=monoclinic dos_at_fermi_per_ev_atom=0.530 raw_formation_energy_ev_per_atom=0.151 polymorph_energy_mev_per_atom=0 total_energy_ev_per_cell=-13.41 pbc="T T T"
Ni 0.000 0.000 0.000
Au 3.998 0.000 2.121
Au 6.458 0.000 0.911
Br 2.852 0.000 4.601

---

No. 16
4
Lattice="0.000 3.182 3.182 3.182 0.000 3.182 3.182 3.182 0.000" Properties=species:S:1:pos:R:3 comment="Ni2AuBr (PBE, relaxed)" space_group=F-43m crystal_system=cubic dos_at_fermi_per_ev_atom=1.484 raw_formation_energy_ev_per_atom=0.724 polymorph_energy_mev_per_atom=380 total_energy_ev_per_cell=-13.62 pbc="T T T"
Ni 0.000 0.000 0.000
Ni 1.591 1.591 1.591
Au 4.773 4.773 4.773
Br 3.182 3.182 3.182

---

No. 17
6
Lattice="0.000 4.335 4.335 4.335 0.000 4.335 4.335 4.335 0.000" Properties=species:S:1:pos:R:3 comment="NiAuBr4 (PBE, relaxed)" space_group=F-43m crystal_system=cubic dos_at_fermi_per_ev_atom=2.035 raw_formation_energy_ev_per_atom=1.153 polymorph_energy_mev_per_atom=1299 total_energy_ev_per_cell=-8.83 pbc="T T T"
Ni 0.000 0.000 0.000
Au 6.503 6.503 6.503
Br 3.255 3.255 3.255
Br 5.416 5.416 3.255
Br 5.416 3.255 5.416
Br 3.255 5.416 5.416

---

No. 18
4
Lattice="1.598 0.923 7.984 -1.598 0.923 7.984 0.000 -1.845 7.984" Properties=species:S:1:pos:R:3 comment="Ni2AuBr (PBE, relaxed)" space_group=R3m crystal_system=trigonal dos_at_fermi_per_ev_atom=0.359 raw_formation_energy_ev_per_atom=0.343 polymorph_energy_mev_per_atom=0 total_energy_ev_per_cell=-15.14 pbc="T T T"
Ni 0.000 0.000 0.000
Ni 0.000 0.000 6.476
Au 0.000 0.000 17.800
Br 0.000 0.000 12.918

---

No. 19
12
Lattice="6.726 0.000 0.000 0.000 3.849 0.000 -5.653 0.000 13.592" Properties=species:S:1:pos:R:3 comment="NiAuBr4 (PBE, relaxed)" space_group=P2_1/c crystal_system=monoclinic dos_at_fermi_per_ev_atom=0.477 raw_formation_energy_ev_per_atom=-0.146 polymorph_energy_mev_per_atom=0 total_energy_ev_per_cell=-33.25 pbc="T T T"
Ni 0.000 0.000 0.000
Ni -2.827 1.925 6.796
Au 0.537 0.000 6.796
Au 3.363 1.925 0.000
Br -3.686 0.344 12.019
Br -0.860 1.580 5.223
Br 1.087 1.953 1.371
Br -1.739 3.821 8.167
Br 2.812 0.029 5.425
Br -0.014 1.896 12.221
Br 1.933 2.269 8.369
Br 4.759 3.505 1.573

---

No. 20
4
Lattice="1.619 -2.595 0.000 1.619 2.595 0.000 0.000 0.000 9.223" Properties=species:S:1:pos:R:3 comment="NiAu2Br (PBE, relaxed)" space_group=Cmm2 crystal_system=orthorhombic dos_at_fermi_per_ev_atom=0.709 raw_formation_energy_ev_per_atom=0.295 polymorph_energy_mev_per_atom=144 total_energy_ev_per_cell=-12.83 pbc="T T T"
Ni 0.000 0.000 0.000
Au 0.000 0.000 4.917
Au 1.619 0.000 7.238
Br 1.619 0.000 1.702

---

No. 21
4
Lattice="-1.508 2.045 6.089 1.508 -2.045 6.089 1.508 2.045 -6.089" Properties=species:S:1:pos:R:3 comment="NiAu2Br (PBE, relaxed)" space_group=Immm crystal_system=orthorhombic dos_at_fermi_per_ev_atom=0.605 raw_formation_energy_ev_per_atom=0.290 polymorph_energy_mev_per_atom=139 total_energy_ev_per_cell=-12.85 pbc="T T T"
Ni 0.000 0.000 0.000
Au 1.508 0.000 2.383
Au 0.000 2.045 3.706
Br 0.000 0.000 6.089

---

No. 22
4
Lattice="3.408 0.000 0.000 0.000 4.189 0.000 0.000 0.000 5.455" Properties=species:S:1:pos:R:3 comment="NiAu2Br (PBE, relaxed)" space_group=Pmmm crystal_system=orthorhombic dos_at_fermi_per_ev_atom=0.815 raw_formation_energy_ev_per_atom=0.452 polymorph_energy_mev_per_atom=301 total_energy_ev_per_cell=-12.20 pbc="T T T"
Ni 0.000 0.000 0.000
Au 0.000 2.095 2.728
Au 1.704 0.000 2.728
Br 1.704 2.095 0.000

---

No. 23
5
Lattice="4.772 0.000 0.000 0.000 4.772 0.000 0.000 0.000 4.772" Properties=species:S:1:pos:R:3 comment="Ni3AuBr (PBE, relaxed)" space_group=Pm-3m crystal_system=cubic dos_at_fermi_per_ev_atom=1.323 raw_formation_energy_ev_per_atom=1.152 polymorph_energy_mev_per_atom=405 total_energy_ev_per_cell=-16.54 pbc="T T T"
Ni 0.000 0.000 2.386
Ni 0.000 2.386 0.000
Ni 2.386 0.000 0.000
Au 0.000 0.000 0.000
Br 2.386 2.386 2.386

---

No. 24
18
Lattice="7.666 -6.428 0.000 7.666 6.428 0.000 -0.237 0.000 5.838" Properties=species:S:1:pos:R:3 comment="NiAu2Br6 (PBE, relaxed)" space_group=C2/c crystal_system=monoclinic dos_at_fermi_per_ev_atom=0.437 raw_formation_energy_ev_per_atom=-0.136 total_energy_ev_per_cell=-47.19 pbc="T T T"
Ni 7.488 5.452 4.378
Ni 7.607 -5.452 1.459
Au 5.789 1.311 3.580
Au 5.908 -1.311 0.661
Au 9.186 1.311 5.176
Au 9.305 -1.311 2.258
Br 1.191 0.804 5.466
Br 5.770 3.761 3.420
Br 1.310 -0.804 2.547
Br 5.787 1.165 0.654
Br 9.206 3.761 5.336
Br 5.668 -1.165 3.573
Br 9.427 1.165 2.265
Br 5.889 -3.761 0.501
Br 9.308 -1.165 5.184
Br 13.785 0.804 3.291
Br 9.324 -3.761 2.418
Br 13.903 -0.804 0.372